Computed, not measured: Th2MnGe3Rh4 after structural relaxation at the PBE-GGA level of DFT.

The structure belongs to space group P-4m2 (No. 115); the cell edges are 4.174, 4.174 and 10.567 Å and the angles 90.00°, 90.00° and 90.00°. Symmetry generates all atoms from Th at (0.000, 0.500, 0.246), Mn at (0.500, 0.500, 0.000), Ge at (0.000, 0.000, 0.000), Ge at (0.000, 0.500, 0.628), Rh at (0.000, 0.000, 0.500), Rh at (0.000, 0.500, 0.861) and Rh at (0.500, 0.500, 0.500).

As for the volume: 18.41 Å³/atom. As for the final energy: -7.5179 eV/atom. For the energy relative to the elements, the calculation gives -0.79 eV per atom.